# 1
Compound: BeCr2Cd
Source: Alexandria via LeMat-Bulk
Functional: PBEsol
Structure: relaxed

a = 3.832 Å, b = 4.537 Å, c = 3.832 Å
α = 65.02°, β = 90.00°, γ = 114.98°
Element x y z (fractional)
Be 0.500 0.000 0.500
Cr 0.000 0.000 0.000
Cd 0.750 0.500 0.750
Cr 0.250 0.500 0.250

Properties
Total energy ... -5.896 eV per atom
Energy above the lowest structure with this stoichiometry ... 173.5 meV per atom
Symmetry ... I-4m2, No. 119
Formation enthalpy at 0 K ... 524 meV/atom
D(E_F) ... 2.2 states/eV per cell

***

# 2
Compound: MnBe4Co
Source: Alexandria via LeMat-Bulk
Functional: PBEsol
Structure: relaxed

a = 4.158 Å, b = 4.158 Å, c = 4.158 Å
α = 60.00°, β = 60.00°, γ = 60.00°
Element x y z (fractional)
Co 0.750 0.750 0.750
Be 0.375 0.875 0.375
Be 0.375 0.375 0.875
Be 0.875 0.375 0.375
Be 0.375 0.375 0.375
Mn 0.000 0.000 0.000

Properties
Total energy ... -5.829 eV per atom
Symmetry ... F-43m, No. 216
Formation enthalpy at 0 K ... -246 meV/atom
D(E_F) ... 2.5 states/eV per cell

***

# 3
Compound: SrCa2La
Source: Alexandria via LeMat-Bulk
Functional: PBEsol
Structure: relaxed

a = 3.761 Å, b = 5.691 Å, c = 7.668 Å
α = 90.00°, β = 90.00°, γ = 90.00°
Element x y z (fractional)
Sr 0.500 0.500 0.745
La 0.000 0.000 0.492
Ca 0.000 0.000 0.006
Ca 0.500 0.500 0.257

Properties
Total energy ... -2.748 eV per atom
Energy above the lowest structure with this stoichiometry ... 43.2 meV per atom
Symmetry ... Pmm2, No. 25
Formation enthalpy at 0 K ... 115 meV/atom
D(E_F) ... 6.7 states/eV per cell

***

# 4
Compound: FeCuAs2Br
Source: Alexandria via LeMat-Bulk
Functional: PBEsol
Structure: relaxed

a = 4.364 Å, b = 4.364 Å, c = 5.148 Å
α = 90.00°, β = 90.00°, γ = 90.00°
Element x y z (fractional)
As 0.000 0.500 0.000
Fe 0.000 0.000 0.000
Br 0.000 0.000 0.500
As 0.500 0.000 0.000
Cu 0.500 0.500 0.500

Properties
Total energy ... -4.504 eV per atom
Symmetry ... P4/mmm, No. 123
Formation energy without anion corrections ... 0.572 eV per atom
D(E_F) ... 2.6 states/eV per cell